A plane-wave DFT calculation with PBE was carried out for a relaxed CoTc2NiRu crystal.

Cell lengths 4.595, 4.471, 4.595 Å; angles 90.00, 90.00, 90.00 degrees
Positions (direct):
Co1 0.000 0.500 0.000
Ni1 0.500 0.500 0.500
Ru1 0.000 0.000 0.000
Tc1 0.500 0.000 0.000
Tc2 0.000 0.000 0.500

Computed properties:
**ΔH_f (0 K)**: 1845 meV per atom
**Density of states at the Fermi level**: 9.3 states/eV/cell
**Space-group type**: No. 123
**Total magnetization**: 0.88 μB per atom


A plane-wave DFT calculation with PBE was carried out for a relaxed NbCuBrO2 crystal.

Cell lengths 3.747, 5.409, 3.747 Å; angles 90.00, 90.00, 90.00 degrees
Positions (direct):
Cu1 0.000 0.000 0.000
O1 0.000 0.000 0.500
O2 0.500 0.000 0.000
Br1 0.500 0.500 0.500
Nb1 0.000 0.500 0.000

Computed properties:
**Formation energy from raw total energies**: 7.23 kcal/mol of atoms
**Density of states at the Fermi level**: 6.4 states/eV/cell
**Space-group type**: No. 123
**Total magnetization**: 0.43 μB per atom


A plane-wave DFT calculation with PBE was carried out for a relaxed Pm3Pb2S crystal.

Cell lengths 4.034, 6.286, 7.979 Å; angles 113.20, 104.64, 90.00 degrees
Positions (direct):
Pm1 0.500 0.500 0.000
Pm2 0.855 0.855 0.710
Pm3 0.145 0.145 0.290
S1 0.500 0.000 0.000
Pb1 0.174 0.674 0.348
Pb2 0.826 0.326 0.652

Computed properties:
**Formation energy from raw total energies**: -22.30 kcal/mol of atoms
**Density of states at the Fermi level**: 3.5 states/eV/cell
**Space-group type**: No. 71
**Total magnetization**: 0.00 μB per atom